Compound: NdPuPaN3
Source: Alexandria via LeMat-Bulk
Functional: PBE
Structure: optimized geometry

Cell and atoms, written as extended XYZ:
```
12
Lattice="-1.697 2.547 1.608 2.684 -2.110 6.175 6.215 5.756 -2.558" Properties=species:S:1:pos:R:3 pbc="T T T"
Nd 6.114 4.910 4.251
Nd 1.088 1.283 0.974
Pu 3.162 3.446 -0.262
Pu 4.039 2.747 5.487
Pa 2.262 0.070 4.134
Pa 4.940 6.123 1.090
N 5.408 2.397 3.770
N 1.806 0.766 6.270
N 0.546 1.627 3.574
N 1.793 3.797 1.454
N 6.656 4.566 1.650
N 5.395 5.428 -1.045
```

Summary:
The value obtained for the density of states at the Fermi level is 7.45 states/eV per cell. Its formation energy from raw total energies is -0.947 eV per atom. The calculation puts the size of the total moment at 0.27 μB/atom.